Record 1
KZr2Ta: single point on PBEsol structure, SCAN.

abc: 4.8388 4.8388 7.9170
angles: 92.88 92.88 35.98
Sites, in units of the cell vectors:
K1 0.0000 0.0000 0.0000
Zr1 0.2346 0.2346 0.6661
Zr2 0.7654 0.7654 0.3339
Ta1 0.5000 0.5000 0.5000

- Energy above the most stable polymorph in this dataset: 0.00 kcal/mol of atoms
- E: -1.2277 hartree per atom


Record 2
KZrTa: single point on PBEsol structure, SCAN.

abc: 4.9229 4.9229 4.9229
angles: 60.00 60.00 60.00
Sites, in units of the cell vectors:
K1 0.0000 0.0000 0.0000
Zr1 0.7500 0.7500 0.7500
Ta1 0.5000 0.5000 0.5000

- E: -1.2134 hartree per atom


Record 3
KZr2Ta: single point on PBEsol structure, SCAN.

abc: 4.8468 4.8468 3.7821
angles: 90.00 90.00 90.00
Sites, in units of the cell vectors:
K1 0.0000 0.0000 0.0000
Zr1 0.0000 0.5000 0.5000
Zr2 0.5000 0.0000 0.5000
Ta1 0.5000 0.5000 0.0000

- Energy above the most stable polymorph in this dataset: 11.30 kcal/mol of atoms
- E: -1.2097 hartree per atom


no.,density of states at the Fermi level (states/eV/f.u.),M_tot (Bohr magnetons per cell)
1,4.29,0.026
2,2.56,3.834
3,4.50,0.000